1.
Here is a crystal of GaBiRu2W relaxed with PBEsol from Alexandria via LeMat-Bulk. Energies are from meta-GGA SCAN.

The value obtained for the total magnetic moment is 1.5 μB/f.u. Its total energy is -224.749 eV/f.u. The density of states at the Fermi level comes out at 3.7 states/eV per cell.

It has space group P4/mmm (No. 123), with a = 4.4477 Å, b = 4.4477 Å, c = 4.9588 Å, α = 90.00°, β = 90.00° and γ = 90.00°. The distinct sites, in fractional coordinates, are Ga at (0.0000, 0.0000, 0.0000), Bi at (0.0000, 0.0000, 0.5000), Ru at (0.0000, 0.5000, 0.0000) and W at (0.5000, 0.5000, 0.5000).

=====

2.
Here is a crystal of GaBi3Sb relaxed with PBEsol from Alexandria via LeMat-Bulk. Energies are from meta-GGA SCAN.

The value obtained for the total magnetic moment is 0.0 μB/f.u. Its total energy is -286.345 eV/f.u. The density of states at the Fermi level comes out at 4.3 states/eV per cell.

It has space group Pm-3m (No. 221), with a = 5.3798 Å, b = 5.3798 Å, c = 5.3798 Å, α = 90.00°, β = 90.00° and γ = 90.00°. The distinct sites, in fractional coordinates, are Ga at (0.0000, 0.0000, 0.0000), Bi at (0.0000, 0.0000, 0.5000) and Sb at (0.5000, 0.5000, 0.5000).

=====

3.
Here is a crystal of Ga2BiSb relaxed with PBEsol from Alexandria via LeMat-Bulk. Energies are from meta-GGA SCAN.

The value obtained for the total magnetic moment is 0.0 μB/f.u. Its total energy is -148.840 eV/f.u. The density of states at the Fermi level comes out at 0.9 states/eV per cell.

It has space group I-42d (No. 122), with a = 6.2219 Å, b = 6.2219 Å, c = 12.4366 Å, α = 90.00°, β = 90.00° and γ = 90.00°. The distinct sites, in fractional coordinates, are Ga at (0.2391, 0.2500, 0.1250), Bi at (0.0000, 0.0000, 0.5000) and Sb at (0.0000, 0.0000, 0.0000).

=====

4.
Here is a crystal of GaBi2Sb relaxed with PBEsol from Alexandria via LeMat-Bulk. Energies are from meta-GGA SCAN.

The value obtained for the total magnetic moment is 0.0 μB/f.u. Its total energy is -209.816 eV/f.u. The density of states at the Fermi level comes out at 10.7 states/eV per cell.

It has space group I-42d (No. 122), with a = 6.5922 Å, b = 6.5922 Å, c = 13.8704 Å, α = 90.00°, β = 90.00° and γ = 90.00°. The distinct sites, in fractional coordinates, are Ga at (0.0000, 0.0000, 0.0000), Bi at (0.2158, 0.2500, 0.1250) and Sb at (0.0000, 0.0000, 0.5000).